Entry 1:
# K5Na2Hg12 | the Alexandria database | PBE-GGA | optimized geometry
# Calculated volume, A^3/atom: 32.476
# M_tot, μB per cell: 0.00
# Raw total energy, eV/f.u.: -16.08
# D(E_F), states/eV/cell: 9.4
# Crystal system: monoclinic
data_K5Na2Hg12
_chemical_formula_sum 'K5 Na2 Hg12'
_cell_length_a 8.0105
_cell_length_b 8.0942
_cell_length_c 10.3631
_cell_angle_alpha 67.01
_cell_angle_beta 86.30
_cell_angle_gamma 90.00
_symmetry_space_group_name_H-M 'P 1'
_symmetry_Int_Tables_number 1
loop_
_symmetry_equiv_pos_as_xyz
'x,y,z'
loop_
_atom_site_label
_atom_site_type_symbol
_atom_site_fract_x
_atom_site_fract_y
_atom_site_fract_z
K1 K 0.5671 0.7563 0.4873
K2 K 0.0439 0.7015 0.5970
K3 K 0.5000 0.0000 0.0000
K4 K 0.9561 0.2985 0.4030
K5 K 0.4329 0.2437 0.5127
Na1 Na 0.0000 0.7303 0.0000
Na2 Na 0.0000 0.2697 0.0000
Hg1 Hg 0.0910 0.1181 0.7638
Hg2 Hg 0.7453 0.3339 0.7206
Hg3 Hg 0.7453 0.9455 0.7206
Hg4 Hg 0.3511 0.4139 0.7853
Hg5 Hg 0.3511 0.8008 0.7853
Hg6 Hg 0.6928 0.5424 0.9152
Hg7 Hg 0.3072 0.4576 0.0848
Hg8 Hg 0.6489 0.5861 0.2147
Hg9 Hg 0.6489 0.1992 0.2147
Hg10 Hg 0.2547 0.6661 0.2794
Hg11 Hg 0.2547 0.0545 0.2794
Hg12 Hg 0.9090 0.8819 0.2362

Entry 2:
# K6NaHg2 | the Alexandria database | PBE-GGA | optimized geometry
# Calculated volume, A^3/atom: 50.774
# M_tot, μB per cell: 0.00
# Raw total energy, eV/f.u.: -9.56
# D(E_F), states/eV/cell: 9.9
# Crystal system: orthorhombic
data_K6NaHg2
_chemical_formula_sum 'K12 Na2 Hg4'
_cell_length_a 10.6257
_cell_length_b 10.6257
_cell_length_c 10.6257
_cell_angle_alpha 102.87
_cell_angle_beta 114.19
_cell_angle_gamma 111.57
_symmetry_space_group_name_H-M 'P 1'
_symmetry_Int_Tables_number 1
loop_
_symmetry_equiv_pos_as_xyz
'x,y,z'
loop_
_atom_site_label
_atom_site_type_symbol
_atom_site_fract_x
_atom_site_fract_y
_atom_site_fract_z
K1 K 0.5267 0.7153 0.8114
K2 K 0.4733 0.2847 0.1886
K3 K 0.0961 0.2847 0.8114
K4 K 0.9039 0.7153 0.1886
K5 K 0.7945 0.7570 0.5515
K6 K 0.2055 0.2430 0.4485
K7 K 0.2055 0.7570 0.9625
K8 K 0.7945 0.2430 0.0375
K9 K 0.6961 0.3714 0.6753
K10 K 0.3039 0.6286 0.3247
K11 K 0.3039 0.9792 0.6753
K12 K 0.6961 0.0208 0.3247
Na1 Na 0.0000 0.5000 0.5000
Na2 Na 0.0000 0.0000 0.0000
Hg1 Hg 0.5000 0.3844 0.8844
Hg2 Hg 0.5000 0.6156 0.1156
Hg3 Hg 0.6425 0.0000 0.6425
Hg4 Hg 0.3575 0.0000 0.3575

Entry 3:
# K6Na5Hg | the Alexandria database | PBE-GGA | optimized geometry
# Calculated volume, A^3/atom: 49.877
# M_tot, μB per cell: 0.00
# Raw total energy, eV/f.u.: -13.71
# D(E_F), states/eV/cell: 6.9
# Crystal system: orthorhombic
data_K6Na5Hg
_chemical_formula_sum 'K6 Na5 Hg1'
_cell_length_a 6.3782
_cell_length_b 11.1136
_cell_length_c 11.1136
_cell_angle_alpha 115.62
_cell_angle_beta 106.68
_cell_angle_gamma 106.68
_symmetry_space_group_name_H-M 'P 1'
_symmetry_Int_Tables_number 1
loop_
_symmetry_equiv_pos_as_xyz
'x,y,z'
loop_
_atom_site_label
_atom_site_type_symbol
_atom_site_fract_x
_atom_site_fract_y
_atom_site_fract_z
Na1 Na 0.5000 0.1863 0.8137
Na2 Na 0.0000 0.3410 0.6590
Na3 Na 0.5000 0.5000 0.5000
Na4 Na 0.0000 0.6590 0.3410
Na5 Na 0.5000 0.8137 0.1863
K1 K 0.2315 0.0739 0.3891
K2 K 0.7685 0.6109 0.9261
K3 K 0.7164 0.2164 0.2164
K4 K 0.2836 0.7836 0.7836
K5 K 0.2315 0.3891 0.0739
K6 K 0.7685 0.9261 0.6109
Hg1 Hg 0.0000 0.0000 0.0000

Entry 4:
# K4NaHg2 | the Alexandria database | PBE-GGA | optimized geometry
# Calculated volume, A^3/atom: 49.026
# M_tot, μB per cell: 0.00
# D(E_F), states/eV/cell: 4.3
# Crystal system: trigonal
# Polymorph energy (0 for the lowest one), eV/atom: 0.000
data_K4NaHg2
_chemical_formula_sum 'K4 Na1 Hg2'
_cell_length_a 5.9678
_cell_length_b 5.9678
_cell_length_c 11.6481
_cell_angle_alpha 75.16
_cell_angle_beta 75.16
_cell_angle_gamma 60.00
_symmetry_space_group_name_H-M 'P 1'
_symmetry_Int_Tables_number 1
loop_
_symmetry_equiv_pos_as_xyz
'x,y,z'
loop_
_atom_site_label
_atom_site_type_symbol
_atom_site_fract_x
_atom_site_fract_y
_atom_site_fract_z
K1 K 0.7035 0.7035 0.8895
K2 K 0.8869 0.8869 0.3394
K3 K 0.2965 0.2965 0.1105
K4 K 0.1131 0.1131 0.6606
Na1 Na 0.5000 0.5000 0.5000
Hg1 Hg 0.5943 0.5943 0.2171
Hg2 Hg 0.4057 0.4057 0.7829

Entry 5:
# KNa6Hg | the Alexandria database | PBE-GGA | optimized geometry
# Calculated volume, A^3/atom: 36.325
# M_tot, μB per cell: 0.00
# D(E_F), states/eV/cell: 2.9
# Crystal system: tetragonal
# Polymorph energy (0 for the lowest one), eV/atom: 0.000
data_KNa6Hg
_chemical_formula_sum 'K1 Na6 Hg1'
_cell_length_a 5.3126
_cell_length_b 5.3126
_cell_length_c 10.2964
_cell_angle_alpha 90.00
_cell_angle_beta 90.00
_cell_angle_gamma 90.00
_symmetry_space_group_name_H-M 'P 1'
_symmetry_Int_Tables_number 1
loop_
_symmetry_equiv_pos_as_xyz
'x,y,z'
loop_
_atom_site_label
_atom_site_type_symbol
_atom_site_fract_x
_atom_site_fract_y
_atom_site_fract_z
K1 K 0.0000 0.0000 0.0000
Na1 Na 0.5000 0.5000 0.0000
Na2 Na 0.5000 0.5000 0.5000
Na3 Na 0.5000 0.0000 0.2945
Na4 Na 0.5000 0.0000 0.7055
Na5 Na 0.0000 0.5000 0.2945
Na6 Na 0.0000 0.5000 0.7055
Hg1 Hg 0.0000 0.0000 0.5000

Entry 6:
# K2NaHg | the Alexandria database | PBE-GGA | optimized geometry
# Calculated volume, A^3/atom: 50.367
# M_tot, μB per cell: 0.00
# D(E_F), states/eV/cell: 2.9
# Crystal system: orthorhombic
# Polymorph energy (0 for the lowest one), eV/atom: 0.064
data_K2NaHg
_chemical_formula_sum 'K2 Na1 Hg1'
_cell_length_a 10.7670
_cell_length_b 10.7670
_cell_length_c 10.7670
_cell_angle_alpha 156.64
_cell_angle_beta 33.77
_cell_angle_gamma 155.96
_symmetry_space_group_name_H-M 'P 1'
_symmetry_Int_Tables_number 1
loop_
_symmetry_equiv_pos_as_xyz
'x,y,z'
loop_
_atom_site_label
_atom_site_type_symbol
_atom_site_fract_x
_atom_site_fract_y
_atom_site_fract_z
K1 K 0.3358 0.0000 0.3358
K2 K 0.6642 0.0000 0.6642
Na1 Na 0.0000 0.0000 0.0000
Hg1 Hg 0.5000 0.0000 0.5000

Entry 7:
# K3Na11Hg4 | the Alexandria database | PBE-GGA | optimized geometry
# Calculated volume, A^3/atom: 37.788
# M_tot, μB per cell: 0.00
# Raw total energy, eV/f.u.: -20.72
# D(E_F), states/eV/cell: 8.3
# Crystal system: hexagonal
data_K3Na11Hg4
_chemical_formula_sum 'K3 Na11 Hg4'
_cell_length_a 7.1365
_cell_length_b 7.1365
_cell_length_c 15.4211
_cell_angle_alpha 90.00
_cell_angle_beta 90.00
_cell_angle_gamma 120.00
_symmetry_space_group_name_H-M 'P 1'
_symmetry_Int_Tables_number 1
loop_
_symmetry_equiv_pos_as_xyz
'x,y,z'
loop_
_atom_site_label
_atom_site_type_symbol
_atom_site_fract_x
_atom_site_fract_y
_atom_site_fract_z
K1 K 0.0000 0.0000 0.6600
K2 K 0.0000 0.0000 0.3400
K3 K 0.0000 0.0000 0.0000
Na1 Na 0.5000 0.0000 0.5000
Na2 Na 0.5000 0.5000 0.5000
Na3 Na 0.0000 0.5000 0.1890
Na4 Na 0.5000 0.0000 0.1890
Na5 Na 0.5000 0.5000 0.1890
Na6 Na 0.0000 0.5000 0.8110
Na7 Na 0.5000 0.0000 0.8110
Na8 Na 0.5000 0.5000 0.8110
Na9 Na 0.6667 0.3333 0.0000
Na10 Na 0.3333 0.6667 0.0000
Na11 Na 0.0000 0.5000 0.5000
Hg1 Hg 0.6667 0.3333 0.6566
Hg2 Hg 0.3333 0.6667 0.6566
Hg3 Hg 0.3333 0.6667 0.3434
Hg4 Hg 0.6667 0.3333 0.3434

Entry 8:
# K2Na21Hg6 | the Alexandria database | PBE-GGA | optimized geometry
# Calculated volume, A^3/atom: 35.026
# M_tot, μB per cell: 0.00
# Raw total energy, eV/f.u.: -35.10
# D(E_F), states/eV/cell: 9.6
# Crystal system: cubic
data_K2Na21Hg6
_chemical_formula_sum 'K2 Na21 Hg6'
_cell_length_a 11.2832
_cell_length_b 11.2832
_cell_length_c 11.2832
_cell_angle_alpha 60.00
_cell_angle_beta 60.00
_cell_angle_gamma 60.00
_symmetry_space_group_name_H-M 'P 1'
_symmetry_Int_Tables_number 1
loop_
_symmetry_equiv_pos_as_xyz
'x,y,z'
loop_
_atom_site_label
_atom_site_type_symbol
_atom_site_fract_x
_atom_site_fract_y
_atom_site_fract_z
K1 K 0.7500 0.7500 0.7500
K2 K 0.2500 0.2500 0.2500
Na1 Na 0.0000 0.0000 0.0000
Na2 Na 0.6118 0.6118 0.1645
Na3 Na 0.6118 0.6118 0.6118
Na4 Na 0.6118 0.1645 0.6118
Na5 Na 0.1645 0.6118 0.6118
Na6 Na 0.3882 0.3882 0.8355
Na7 Na 0.3882 0.3882 0.3882
Na8 Na 0.3882 0.8355 0.3882
Na9 Na 0.8355 0.3882 0.3882
Na10 Na 0.6557 0.0000 0.3443
Na11 Na 0.0000 0.6557 0.3443
Na12 Na 0.0000 0.0000 0.3443
Na13 Na 0.0000 0.6557 0.0000
Na14 Na 0.6557 0.0000 0.0000
Na15 Na 0.0000 0.0000 0.6557
Na16 Na 0.0000 0.3443 0.0000
Na17 Na 0.0000 0.3443 0.6557
Na18 Na 0.6557 0.3443 0.0000
Na19 Na 0.3443 0.0000 0.6557
Na20 Na 0.3443 0.0000 0.0000
Na21 Na 0.3443 0.6557 0.0000
Hg1 Hg 0.2644 0.7356 0.2644
Hg2 Hg 0.7356 0.2644 0.2644
Hg3 Hg 0.7356 0.7356 0.2644
Hg4 Hg 0.7356 0.2644 0.7356
Hg5 Hg 0.2644 0.7356 0.7356
Hg6 Hg 0.2644 0.2644 0.7356

Entry 9:
# KNaHg2 | the Alexandria database | PBE-GGA | optimized geometry
# Calculated volume, A^3/atom: 34.499
# M_tot, μB per cell: 0.00
# D(E_F), states/eV/cell: 1.5
# Crystal system: monoclinic
# Polymorph energy (0 for the lowest one), eV/atom: 0.023
data_KNaHg2
_chemical_formula_sum 'K1 Na1 Hg2'
_cell_length_a 5.3404
_cell_length_b 5.3426
_cell_length_c 6.3607
_cell_angle_alpha 114.50
_cell_angle_beta 90.00
_cell_angle_gamma 119.99
_symmetry_space_group_name_H-M 'P 1'
_symmetry_Int_Tables_number 1
loop_
_symmetry_equiv_pos_as_xyz
'x,y,z'
loop_
_atom_site_label
_atom_site_type_symbol
_atom_site_fract_x
_atom_site_fract_y
_atom_site_fract_z
K1 K 0.7500 0.5000 0.2500
Na1 Na 0.2500 0.5000 0.7500
Hg1 Hg 0.9581 0.9162 0.8760
Hg2 Hg 0.5419 0.0838 0.6240

Entry 10:
# K2Na5Hg3 | the Alexandria database | PBE-GGA | optimized geometry
# Calculated volume, A^3/atom: 34.428
# M_tot, μB per cell: 0.00
# Raw total energy, eV/f.u.: -11.16
# D(E_F), states/eV/cell: 9.5
# Crystal system: monoclinic
data_K2Na5Hg3
_chemical_formula_sum 'K4 Na10 Hg6'
_cell_length_a 6.6869
_cell_length_b 10.3229
_cell_length_c 10.3230
_cell_angle_alpha 99.51
_cell_angle_beta 97.43
_cell_angle_gamma 97.43
_symmetry_space_group_name_H-M 'P 1'
_symmetry_Int_Tables_number 1
loop_
_symmetry_equiv_pos_as_xyz
'x,y,z'
loop_
_atom_site_label
_atom_site_type_symbol
_atom_site_fract_x
_atom_site_fract_y
_atom_site_fract_z
K1 K 0.9453 0.5979 0.1746
K2 K 0.4453 0.1746 0.5979
K3 K 0.0547 0.4021 0.8254
K4 K 0.5547 0.8254 0.4021
Na1 Na 0.5372 0.2770 0.9650
Na2 Na 0.0372 0.9650 0.2771
Na3 Na 0.4628 0.7230 0.0350
Na4 Na 0.9628 0.0350 0.7229
Na5 Na 0.9316 0.7490 0.8233
Na6 Na 0.0684 0.2510 0.1767
Na7 Na 0.7500 0.5006 0.4994
Na8 Na 0.2500 0.4994 0.5006
Na9 Na 0.5684 0.1767 0.2510
Na10 Na 0.4316 0.8233 0.7490
Hg1 Hg 0.5619 0.5161 0.7841
Hg2 Hg 0.0619 0.7841 0.5161
Hg3 Hg 0.4381 0.4839 0.2159
Hg4 Hg 0.9381 0.2159 0.4839
Hg5 Hg 0.2500 0.9946 0.0054
Hg6 Hg 0.7500 0.0054 0.9946

Entry 11:
# KNaHg | the Alexandria database | PBE-GGA | optimized geometry
# Calculated volume, A^3/atom: 39.226
# M_tot, μB per cell: 0.00
# D(E_F), states/eV/cell: 3.1
# Crystal system: orthorhombic
# Polymorph energy (0 for the lowest one), eV/atom: 0.019
data_KNaHg
_chemical_formula_sum 'K2 Na2 Hg2'
_cell_length_a 4.7577
_cell_length_b 7.1524
_cell_length_c 8.1417
_cell_angle_alpha 116.06
_cell_angle_beta 106.99
_cell_angle_gamma 90.00
_symmetry_space_group_name_H-M 'P 1'
_symmetry_Int_Tables_number 1
loop_
_symmetry_equiv_pos_as_xyz
'x,y,z'
loop_
_atom_site_label
_atom_site_type_symbol
_atom_site_fract_x
_atom_site_fract_y
_atom_site_fract_z
K1 K 0.0225 0.8950 0.6741
K2 K 0.4220 0.2945 0.4732
Na1 Na 0.7222 0.3546 0.0735
Na2 Na 0.7223 0.8350 0.0738
Hg1 Hg 0.1143 0.4870 0.8578
Hg2 Hg 0.3301 0.7026 0.2894

Entry 12:
# K3Na5Hg | the Alexandria database | PBE-GGA | optimized geometry
# Calculated volume, A^3/atom: 44.609
# M_tot, μB per cell: 0.00
# Raw total energy, eV/f.u.: -10.54
# D(E_F), states/eV/cell: 4.6
# Crystal system: hexagonal
data_K3Na5Hg
_chemical_formula_sum 'K3 Na5 Hg1'
_cell_length_a 5.0392
_cell_length_b 9.5915
_cell_length_c 9.5915
_cell_angle_alpha 120.00
_cell_angle_beta 90.00
_cell_angle_gamma 90.00
_symmetry_space_group_name_H-M 'P 1'
_symmetry_Int_Tables_number 1
loop_
_symmetry_equiv_pos_as_xyz
'x,y,z'
loop_
_atom_site_label
_atom_site_type_symbol
_atom_site_fract_x
_atom_site_fract_y
_atom_site_fract_z
K1 K 0.0000 0.0000 0.3894
K2 K 0.0000 0.3894 0.0000
K3 K 0.0000 0.6106 0.6106
Na1 Na 0.5000 0.6667 0.3333
Na2 Na 0.5000 0.3333 0.6667
Na3 Na 0.5000 0.2273 0.2273
Na4 Na 0.5000 0.7727 0.0000
Na5 Na 0.5000 0.0000 0.7727
Hg1 Hg 0.0000 0.0000 0.0000